Computed, not measured: an optimized crystal structure of Ni4H8Pd at the PBE level of DFT.

Cell and atoms, written as POSCAR:
```
Ni4H8Pd
1.0
0.000 3.638 3.638
3.638 0.000 3.638
3.638 3.638 0.000
Ni H Pd
4 8 1
Direct
0.123 0.123 0.123
0.123 0.123 0.632
0.123 0.632 0.123
0.632 0.123 0.123
0.329 0.890 0.890
0.359 0.359 0.359
0.359 0.359 0.924
0.359 0.924 0.359
0.890 0.329 0.890
0.890 0.890 0.329
0.890 0.890 0.890
0.924 0.359 0.359
0.500 0.500 0.500
```

Values from the calculation:
space-group type: F-43m, No. 216
VASP energy: -4.2478 eV per atom
magnetic moment: 0.00 μB per atom